Entry from the Alexandria database: a relaxed ErInWO6 crystal (PBE with a Hubbard U).

* crystal system: tetragonal
* mass density: 7.79 Mg/m³
* magnetization: 0.00 μB/cell
* energy: -7.271 eV/atom
* V: 13.3 Å³ per atom

Lattice parameters (Å, degrees): 4.9443 4.9443 9.7984 90.00 90.00 90.00
With the nearest neighbours (Å) after each atom.
Fractional coordinates of all 18 atoms:
Er  0.5000  0.5000  0.4979  6 O 2.22-2.27
Er  0.0000  0.0000  0.9979  6 O 2.22-2.27
In  0.5000  0.5000  0.1678  6 O 2.18-2.21
In  0.0000  0.0000  0.6679  6 O 2.18-2.21
W  0.5000  0.5000  0.8318  6 O 1.94-1.97
W  0.0000  0.0000  0.3318  6 O 1.94-1.97
O  0.1835  0.8165  0.4842  1 W 1.97
O  0.8165  0.1835  0.4842  1 W 1.97
O  0.3165  0.3165  0.9842  1 W 1.97
O  0.6835  0.6835  0.9842  1 W 1.97
O  0.1891  0.8109  0.1866  1 W 1.94
O  0.8109  0.1891  0.1866  1 W 1.94
O  0.3109  0.3109  0.6866  1 W 1.94
O  0.6891  0.6891  0.6866  1 W 1.94
O  0.7813  0.2187  0.8305  1 W 1.97
O  0.2187  0.7813  0.8305  1 W 1.97
O  0.7187  0.7187  0.3305  1 W 1.97
O  0.2813  0.2813  0.3305  1 W 1.97